Dy2SnAu | PBE | optimized geometry

Output
The final energy is -4.11 eV per atom. The crystal system is orthorhombic.

Cell lengths 3.243, 5.917, 12.311 Å; angles 90.00, 90.00, 90.00 degrees
Space group Amm2 (No. 38)
Symmetry-distinct sites (fractional):
1 Dy 0.000 0.000 0.000 [2 per cell]
2 Dy 0.000 0.000 0.287 [2 per cell]
3 Sn 0.000 0.000 0.547 [2 per cell]
4 Au 0.000 0.000 0.770 [2 per cell]

=====

Pr2NiAu | PBE | optimized geometry

Output
Its formation energy from the elements is -523 meV per atom. The crystal system is orthorhombic.

Cell lengths 4.599, 3.987, 10.952 Å; angles 90.00, 90.00, 90.00 degrees
Space group Amm2 (No. 38)
Symmetry-distinct sites (fractional):
1 Pr 0.000 0.000 0.000 [2 per cell]
2 Pr 0.500 0.000 0.278 [2 per cell]
3 Ni 0.500 0.000 0.558 [2 per cell]
4 Au 0.000 0.000 0.714 [2 per cell]

=====

Be2AgHg | PBE | optimized geometry

Output
The final energy is -2.12 eV per atom. The crystal system is cubic.

Cell lengths 6.194, 6.194, 6.194 Å; angles 90.00, 90.00, 90.00 degrees
Space group F-43m (No. 216)
Symmetry-distinct sites (fractional):
1 Be 0.000 0.000 0.000 [4 per cell]
2 Be 0.250 0.250 0.250 [4 per cell]
3 Ag 0.250 0.250 0.750 [4 per cell]
4 Hg 0.000 0.000 0.500 [4 per cell]

=====

HfUCd | PBE | optimized geometry

Output
Its formation energy from the elements is 1296 meV per atom. The crystal system is cubic. The energy relative to the lowest polymorph listed for this composition is 228.8 meV per atom.

Cell lengths 6.971, 6.971, 6.971 Å; angles 90.00, 90.00, 90.00 degrees
Space group F-43m (No. 216)
Symmetry-distinct sites (fractional):
1 Hf 0.000 0.000 0.000 [4 per cell]
2 U 0.250 0.250 0.750 [4 per cell]
3 Cd 0.000 0.000 0.500 [4 per cell]

=====

RbLuZr | PBE | optimized geometry

Output
The crystal system is cubic. The energy relative to the lowest polymorph listed for this composition is 0.0 meV per atom.

Cell lengths 8.072, 8.072, 8.072 Å; angles 90.00, 90.00, 90.00 degrees
Space group F-43m (No. 216)
Symmetry-distinct sites (fractional):
1 Rb 0.000 0.000 0.000 [4 per cell]
2 Lu 0.000 0.000 0.500 [4 per cell]
3 Zr 0.250 0.250 0.750 [4 per cell]

=====

Ni3Ir | PBE | optimized geometry

Output
Its formation energy from the elements is 47 meV per atom. The crystal system is cubic.

Cell lengths 3.603, 3.603, 3.603 Å; angles 90.00, 90.00, 90.00 degrees
Space group Pm-3m (No. 221)
Symmetry-distinct sites (fractional):
1 Ni 0.000 0.000 0.500 [3 per cell]
2 Ir 0.500 0.500 0.500 [1 per cell]

=====

LiPt2O6 | PBE | optimized geometry

Output
The crystal system is monoclinic. The energy relative to the lowest polymorph listed for this composition is 8.7 meV per atom.

Cell lengths 5.253, 8.883, 5.094 Å; angles 90.00, 113.95, 90.00 degrees
Space group C2/m (No. 12)
Symmetry-distinct sites (fractional):
1 Li 0.000 0.000 0.000 [2 per cell]
2 Pt 0.000 0.170 0.500 [4 per cell]
3 O 0.212 0.000 0.742 [4 per cell]
4 O 0.225 0.179 0.269 [8 per cell]

=====

SrGdP2Pd2 | PBE | optimized geometry

Output
The final energy is -5.74 eV per atom. The crystal system is trigonal.

Cell lengths 4.1767, 4.1767, 8.2419 Å; angles 90.00, 90.00, 120.00 degrees
Space group P-3m1 (No. 164)
Symmetry-distinct sites (fractional):
1 Sr 0.0000 0.0000 0.0000 [1 per cell]
2 Gd 0.0000 0.0000 0.5000 [1 per cell]
3 P 0.3333 0.6667 0.2720 [2 per cell]
4 Pd 0.3333 0.6667 0.7335 [2 per cell]

=====

Please write out number 7 again, unchanged.
LiPt2O6 | PBE | optimized geometry

Output
The crystal system is monoclinic. The energy relative to the lowest polymorph listed for this composition is 8.7 meV per atom.

Cell lengths 5.253, 8.883, 5.094 Å; angles 90.00, 113.95, 90.00 degrees
Space group C2/m (No. 12)
Symmetry-distinct sites (fractional):
1 Li 0.000 0.000 0.000 [2 per cell]
2 Pt 0.000 0.170 0.500 [4 per cell]
3 O 0.212 0.000 0.742 [4 per cell]
4 O 0.225 0.179 0.269 [8 per cell]

=====

Number 7 is which compound? LiPt2O6

=====

What did the second record say?
Pr2NiAu | PBE | optimized geometry

Output
Its formation energy from the elements is -523 meV per atom. The crystal system is orthorhombic.

Cell lengths 4.599, 3.987, 10.952 Å; angles 90.00, 90.00, 90.00 degrees
Space group Amm2 (No. 38)
Symmetry-distinct sites (fractional):
1 Pr 0.000 0.000 0.000 [2 per cell]
2 Pr 0.500 0.000 0.278 [2 per cell]
3 Ni 0.500 0.000 0.558 [2 per cell]
4 Au 0.000 0.000 0.714 [2 per cell]